Computed, not measured: a relaxed structure of TaOs2Ru at the PBE level of DFT.

Computed properties:
DFT formation energy in eV/f.u.: 0.47

Cell lengths 2.7607, 2.7607, 27.6241 Å; angles 90.00, 90.00, 120.00 degrees
Space group R3m (No. 160, hexagonal axes)
Unique sites:
Ta (0.0000, 0.0000, 0.0000) (multiplicity 3)
Os (0.0000, 0.0000, 0.5005) (multiplicity 3)
Os (0.0000, 0.0000, 0.7548) (multiplicity 3)
Ru (0.0000, 0.0000, 0.2469) (multiplicity 3)


Computed, not measured: a relaxed structure of AlMoW2 at the PBE level of DFT.

Computed properties:
DFT formation energy in eV/f.u.: 1.08

Cell lengths 2.8019, 2.8019, 28.3123 Å; angles 90.00, 90.00, 120.00 degrees
Space group R-3m (No. 166, hexagonal axes)
Unique sites:
Al (0.0000, 0.0000, 0.0000) (multiplicity 3)
Mo (0.0000, 0.0000, 0.5000) (multiplicity 3)
W (0.0000, 0.0000, 0.2524) (multiplicity 6)


Computed, not measured: a relaxed structure of CaSnSbO2 at the PBE level of DFT.

Computed properties:
E_form (uncorrected) in eV per atom: -0.26

Cell lengths 4.315, 4.315, 6.181 Å; angles 90.00, 90.00, 90.00 degrees
Space group P4/mmm (No. 123)
Unique sites:
Ca (0.000, 0.000, 0.000) (multiplicity 1)
Sn (0.500, 0.500, 0.000) (multiplicity 1)
Sb (0.000, 0.000, 0.500) (multiplicity 1)
O (0.000, 0.500, 0.500) (multiplicity 2)


Computed, not measured: a relaxed structure of Sc2ZnBi at the PBE level of DFT.

Computed properties:
DFT formation energy in eV/f.u.: -1.49

Cell lengths 3.755, 3.755, 6.303 Å; angles 90.00, 90.00, 90.00 degrees
Space group P4/mmm (No. 123)
Unique sites:
Sc (0.000, 0.000, 0.242) (multiplicity 2)
Zn (0.500, 0.500, 0.000) (multiplicity 1)
Bi (0.500, 0.500, 0.500) (multiplicity 1)


Computed, not measured: a relaxed structure of Tb2AlCu2 at the PBE level of DFT.

Computed properties:
DFT formation energy in eV/f.u.: -1.77

Cell lengths 9.590, 5.536, 7.873 Å; angles 90.00, 103.81, 90.00 degrees
Space group C2/c (No. 15)
Unique sites:
Tb (0.149, 0.144, 0.151) (multiplicity 8)
Al (0.000, 0.351, 0.750) (multiplicity 4)
Cu (0.135, 0.364, 0.499) (multiplicity 8)


Computed, not measured: a relaxed structure of Cs2DyCuCl6 at the PBE level of DFT.

Computed properties:
E_form (uncorrected) in eV per atom: -1.82

Cell lengths 8.049, 8.049, 9.719 Å; angles 90.00, 90.00, 90.00 degrees
Space group I4/mmm (No. 139)
Unique sites:
Cs (0.000, 0.500, 0.250) (multiplicity 4)
Dy (0.000, 0.000, 0.000) (multiplicity 2)
Cu (0.000, 0.000, 0.500) (multiplicity 2)
Cl (0.000, 0.000, 0.275) (multiplicity 4)
Cl (0.231, 0.231, 0.000) (multiplicity 8)


| no. | total magnetic moment (μB per formula unit) | DOS at the Fermi energy (states/eV per atom) | DFT total energy (eV per cell) |
| --- | --- | --- | --- |
| 1 | 0.00 | 0.670 | -129.4 |
| 2 | 0.00 | 1.021 | -118.2 |
| 3 | 0.00 | 0.759 | -21.4 |
| 4 | 0.82 | 0.559 | -19.3 |
| 5 | 0.00 | 0.700 | -91.9 |
| 6 | 0.05 | 0.000 | -79.3 |